This record from the Alexandria database describes a crystal of LiSbOs relaxed with PBEsol. The functional is meta-GGA SCAN.

```
LiSbOs
1.0
3.0503 0.0000 0.0000
-1.5252 2.6417 0.0000
0.0000 0.0000 6.5077
Li Sb Os
1 1 1
direct
0.0000 0.0000 0.0000 Li
0.6667 0.3333 0.3781 Sb
0.3333 0.6667 0.6842 Os
```

Output
Formation energy without anion corrections, eV/atom: 0.414
Calculated density, g/cm3: 10.1
Total magnetic moment, μB per atom: 0.000
Raw total energy, eV/atom: -36.763



This record from the Alexandria database describes a crystal of LiSbOs2 relaxed with PBEsol. The functional is meta-GGA SCAN.

```
LiSbOs2
1.0
3.1202 0.0000 0.0000
0.0000 3.1202 0.0000
0.0000 0.0000 5.9791
Li Sb Os
1 1 2
direct
0.0000 0.0000 0.0000 Li
0.5000 0.5000 0.7456 Sb
0.0000 0.0000 0.4751 Os
0.5000 0.5000 0.2028 Os
```

Output
Formation energy without anion corrections, eV/atom: 0.421
Calculated density, g/cm3: 14.5
Total magnetic moment, μB per atom: 0.000
Raw total energy, eV/atom: -45.432



This record from the Alexandria database describes a crystal of LiSbOs2 relaxed with PBEsol. The functional is meta-GGA SCAN.

```
LiSbOs2
1.0
0.0000 3.1034 3.1034
3.1034 0.0000 3.1034
3.1034 3.1034 0.0000
Li Sb Os
1 1 2
direct
0.0000 0.0000 0.0000 Li
0.2500 0.2500 0.2500 Sb
0.5000 0.5000 0.5000 Os
0.7500 0.7500 0.7500 Os
```

Output
Formation energy without anion corrections, eV/atom: 0.379
Calculated density, g/cm3: 14.1
Total magnetic moment, μB per atom: 0.000
Raw total energy, eV/atom: -45.473



This record from the Alexandria database describes a crystal of LiSbOs2 relaxed with PBEsol. The functional is meta-GGA SCAN.

```
LiSbOs2
1.0
1.4449 -2.4783 0.0000
1.4449 2.4783 0.0000
0.0000 0.0000 9.2839
Li Sb Os
1 1 2
direct
0.0000 0.0000 0.0000 Li
0.5000 0.5000 0.7202 Sb
0.0000 0.0000 0.4632 Os
0.5000 0.5000 0.2360 Os
```

Output
Formation energy without anion corrections, eV/atom: 0.709
Calculated density, g/cm3: 12.7
Total magnetic moment, μB per atom: 0.061
Raw total energy, eV/atom: -45.144